## RbPuB2F8 (PBE-GGA)

Data for an optimized crystal structure of RbPuB2F8.

```
12
Lattice="2.377 1.372 9.989 -2.377 1.372 9.989 0.000 -2.745 9.989" Properties=species:S:1:pos:R:3 pbc="T T T"
Rb 0.000 0.000 0.000
Pu 0.000 0.000 14.984
B 0.000 0.000 7.633
B 0.000 0.000 22.334
F -1.041 -1.240 12.780
F -1.595 0.281 17.188
F 0.000 0.000 9.072
F -0.554 1.521 12.780
F 0.554 -1.521 17.188
F 0.000 0.000 20.895
F 1.595 -0.281 12.780
F 1.041 1.240 17.188
```

The value obtained for the electronic total energy is -6.366 eV per atom. As for the space-group type: R-3.

## Pm3Dy6Tm2Sc (PBE-GGA)

Data for an optimized crystal structure of Pm3Dy6Tm2Sc.

```
12
Lattice="3.068 -5.311 0.000 3.068 5.311 0.000 -2.043 0.000 11.529" Properties=species:S:1:pos:R:3 pbc="T T T"
Pm 0.000 0.000 0.000
Pm 3.068 1.770 0.000
Pm 3.068 -1.770 0.000
Dy 1.032 1.759 2.959
Dy 0.014 0.000 8.573
Dy 1.032 -1.759 2.959
Dy 3.061 1.759 8.570
Dy 4.080 0.000 2.956
Dy 3.061 -1.759 8.570
Tm 2.047 3.543 5.764
Tm 2.047 -3.543 5.764
Sc 2.047 0.000 5.764
```

The value obtained for the electronic total energy is -4.732 eV per atom. As for the space-group type: C2/m.

## Pr7Mg2In2 (PBE-GGA)

Data for an optimized crystal structure of Pr7Mg2In2.

```
11
Lattice="3.803 -5.741 0.000 3.803 5.741 0.000 0.000 0.000 8.730" Properties=species:S:1:pos:R:3 pbc="T T T"
Pr 0.000 0.000 0.000
Pr 1.901 2.870 2.594
Pr 1.901 2.870 6.136
Pr 1.901 -2.870 2.594
Pr 1.901 -2.870 6.136
Pr 3.803 0.000 2.195
Pr 3.803 0.000 6.535
Mg 3.803 2.432 0.000
Mg 3.803 -2.432 0.000
In 1.418 0.000 4.365
In 6.188 0.000 4.365
```

The value obtained for the electronic total energy is -3.741 eV per atom. As for the space-group type: Cmmm.

## Ac2La2NdY (PBE-GGA)

Data for an optimized crystal structure of Ac2La2NdY.

```
12
Lattice="6.004 0.000 0.000 0.000 10.365 0.000 0.000 0.000 7.411" Properties=species:S:1:pos:R:3 pbc="T T T"
Ac 0.000 0.006 0.000
Ac 0.000 10.359 3.706
Ac 3.002 1.807 1.856
Ac 3.002 8.558 5.562
La 0.000 3.531 1.851
La 0.000 6.834 5.557
La 3.002 1.767 5.555
La 3.002 8.598 1.850
Nd 3.002 5.187 3.702
Nd 3.002 5.178 7.407
Y 0.000 3.490 5.553
Y 0.000 6.875 1.847
```

The value obtained for the electronic total energy is -4.811 eV per atom. As for the space-group type: Pmc2_1.

## TbPa3Co2 (PBE-GGA)

Data for an optimized crystal structure of TbPa3Co2.

```
12
Lattice="7.863 -1.992 0.000 7.863 1.992 0.000 -4.325 0.000 8.177" Properties=species:S:1:pos:R:3 pbc="T T T"
Tb 1.348 0.000 1.092
Tb 10.054 0.000 7.085
Pa -1.355 0.000 2.898
Pa 4.622 0.000 0.822
Pa 3.204 0.000 4.072
Pa 8.198 0.000 4.106
Pa 6.779 0.000 7.355
Pa 12.756 0.000 5.279
Co -0.165 0.000 5.796
Co 7.028 0.000 1.155
Co 4.374 0.000 7.022
Co 11.567 0.000 2.382
```

The value obtained for the electronic total energy is -8.021 eV per atom. As for the space-group type: C2/m.

## K3BiPCO7 (PBE-GGA)

Data for an optimized crystal structure of K3BiPCO7.

```
26
Lattice="6.387 0.000 0.000 0.000 7.240 0.000 -2.692 0.000 10.079" Properties=species:S:1:pos:R:3 pbc="T T T"
K 1.147 1.810 0.627
K -0.470 3.727 7.016
K -0.470 7.133 7.016
K 4.165 0.107 3.063
K 4.165 3.513 3.063
K 2.548 5.430 9.452
Bi 0.995 5.430 3.214
Bi 2.700 1.810 6.865
P 0.932 1.810 3.940
P 2.763 5.430 6.139
C 2.279 5.430 0.395
C 1.416 1.810 9.683
O 1.028 5.430 0.860
O -0.088 1.810 5.087
O 0.728 0.558 3.005
O 0.728 3.062 3.005
O -0.228 5.430 9.206
O 1.274 5.430 5.636
O 0.439 1.810 8.827
O 3.256 5.430 1.252
O 2.421 1.810 4.443
O 3.923 1.810 0.873
O 2.967 4.178 7.074
O 2.967 6.683 7.074
O 3.783 5.430 4.991
O 2.667 1.810 9.219
```

The value obtained for the electronic total energy is -6.157 eV per atom. As for the space-group type: P2_1/m.

Among the records above, which one has the lowest electronic total energy? TbPa3Co2

What is the formula in the second record? Pm3Dy6Tm2Sc

The highest electronic total energy belongs to which entry? Pr7Mg2In2

Please write out number 4 again, unchanged.
## Ac2La2NdY (PBE-GGA)

Data for an optimized crystal structure of Ac2La2NdY.

```
12
Lattice="6.004 0.000 0.000 0.000 10.365 0.000 0.000 0.000 7.411" Properties=species:S:1:pos:R:3 pbc="T T T"
Ac 0.000 0.006 0.000
Ac 0.000 10.359 3.706
Ac 3.002 1.807 1.856
Ac 3.002 8.558 5.562
La 0.000 3.531 1.851
La 0.000 6.834 5.557
La 3.002 1.767 5.555
La 3.002 8.598 1.850
Nd 3.002 5.187 3.702
Nd 3.002 5.178 7.407
Y 0.000 3.490 5.553
Y 0.000 6.875 1.847
```

The value obtained for the electronic total energy is -4.811 eV per atom. As for the space-group type: Pmc2_1.